# 1
TiSbPd2: optimized geometry, PBE.

For the total magnetization, the calculation gives 0.0 μB per formula unit. The volume is 17.60 Å³/atom. The calculation puts the formation energy without anion corrections at -0.51 eV/atom. The symmetry is P4/mmm, No. 123.

Unit cell a=3.4852 b=3.4852 c=5.7943 alpha=90.00 beta=90.00 gamma=90.00
Element x y z (fractional)
Sb1 0.5000 0.5000 0.5000
Pd1 0.0000 0.0000 0.7705
Pd2 0.0000 0.0000 0.2295
Ti1 0.5000 0.5000 0.0000

# 2
TcOsRh: optimized geometry, PBE.

For the total magnetization, the calculation gives 0.0 μB per formula unit. The volume is 14.25 Å³/atom. The excess energy over the best structure of this formula in the dataset is 1.3 meV/atom. The value obtained for the energy of formation is -0.11 eV/atom. The symmetry is Ama2, No. 40.

Unit cell a=4.3456 b=4.7610 c=4.7610 alpha=119.76 beta=90.00 gamma=90.00
Element x y z (fractional)
Tc1 0.7500 0.5758 0.0947
Tc2 0.2500 0.9053 0.4242
Rh1 0.2500 0.2370 0.0945
Rh2 0.7500 0.9055 0.7630
Os1 0.2500 0.5670 0.7572
Os2 0.7500 0.2428 0.4330

# 3
Nd2TeHO: optimized geometry, PBE.

For the total magnetization, the calculation gives 0.6 μB per formula unit. The volume is 20.32 Å³/atom. The total DFT energy (no corrections) is -6.062 eV/atom. The symmetry is I-4m2, No. 119.

Unit cell a=4.0080 b=4.0080 c=6.9305 alpha=106.81 beta=106.81 gamma=90.00
Element x y z (fractional)
Nd1 0.6497 0.6497 0.2994
Nd2 0.3503 0.3503 0.7006
Te1 0.0000 0.0000 0.0000
H1 0.2500 0.7500 0.5000
O1 0.7500 0.2500 0.5000

# 4
Nd3BeGe2: optimized geometry, PBE.

For the total magnetization, the calculation gives 0.7 μB per formula unit. The volume is 24.43 Å³/atom. The value obtained for the energy of formation is -0.62 eV/atom. The symmetry is Pnma, No. 62.

Unit cell a=4.1615 b=11.9167 c=11.8255 alpha=90.00 beta=90.00 gamma=90.00
Element x y z (fractional)
Nd1 0.2500 0.3825 0.0668
Nd2 0.7500 0.6175 0.9332
Nd3 0.7500 0.8825 0.4332
Nd4 0.2500 0.1175 0.5668
Nd5 0.2500 0.7060 0.1998
Nd6 0.7500 0.2940 0.8002
Nd7 0.7500 0.2060 0.3002
Nd8 0.2500 0.7940 0.6998
Nd9 0.2500 0.4407 0.3827
Nd10 0.7500 0.5593 0.6173
Nd11 0.7500 0.9407 0.1173
Nd12 0.2500 0.0593 0.8827
Be1 0.2500 0.1380 0.1363
Be2 0.7500 0.8620 0.8637
Be3 0.7500 0.6380 0.3637
Be4 0.2500 0.3620 0.6363
Ge1 0.2500 0.6839 0.4603
Ge2 0.7500 0.3161 0.5397
Ge3 0.7500 0.1839 0.0397
Ge4 0.2500 0.8161 0.9603
Ge5 0.2500 0.0184 0.3004
Ge6 0.7500 0.9816 0.6996
Ge7 0.7500 0.5184 0.1996
Ge8 0.2500 0.4816 0.8004

# 5
InP2S: optimized geometry, PBE.

For the total magnetization, the calculation gives 0.0 μB per formula unit. The volume is 23.20 Å³/atom. The excess energy over the best structure of this formula in the dataset is 0.0 meV/atom. The calculation puts the formation energy without anion corrections at 0.34 eV/atom. The symmetry is I-42d, No. 122.

Unit cell a=5.2676 b=5.2676 c=7.6553 alpha=69.88 beta=69.88 gamma=90.00
Element x y z (fractional)
P1 0.5736 0.1250 0.2500
P2 0.1764 0.6250 0.2500
P3 0.3750 0.4264 0.7500
P4 0.8750 0.8236 0.7500
S1 0.5000 0.5000 0.0000
S2 0.2500 0.7500 0.5000
In1 0.0000 0.0000 0.0000
In2 0.7500 0.2500 0.5000

# 6
BaCdPb: optimized geometry, PBE.

For the total magnetization, the calculation gives 0.0 μB per formula unit. The volume is 38.09 Å³/atom. The value obtained for the energy of formation is -0.29 eV/atom. The symmetry is Imma, No. 74.

Unit cell a=10.8726 b=5.4891 c=7.6586 alpha=90.00 beta=90.00 gamma=90.00
Element x y z (fractional)
Pb1 0.5000 0.2500 0.1246
Pb2 0.0000 0.7500 0.6246
Pb3 0.5000 0.7500 0.8754
Pb4 0.0000 0.2500 0.3754
Ba1 0.7500 0.2500 0.7499
Ba2 0.7500 0.7500 0.2499
Ba3 0.2500 0.7500 0.2501
Ba4 0.2500 0.2500 0.7501
Cd1 0.0000 0.0000 0.0000
Cd2 0.5000 0.5000 0.5000
Cd3 0.5000 0.0000 0.5000
Cd4 0.0000 0.5000 0.0000

# 7
BaInSb2: optimized geometry, PBE.

For the total magnetization, the calculation gives 0.0 μB per formula unit. The volume is 31.93 Å³/atom. The calculation puts the formation energy without anion corrections at -0.43 eV/atom. The symmetry is I4/mmm, No. 139.

Unit cell a=6.2313 b=6.2313 c=6.2313 alpha=132.84 beta=132.84 gamma=68.90
Element x y z (fractional)
Ba1 0.2500 0.7500 0.5000
In1 0.7500 0.2500 0.5000
Sb1 0.0000 0.0000 0.0000
Sb2 0.5000 0.5000 0.0000

# 8
La2Te2As: optimized geometry, PBE.

For the total magnetization, the calculation gives 0.1 μB per formula unit. The volume is 31.53 Å³/atom. The calculation puts the formation energy without anion corrections at -1.26 eV/atom. The symmetry is P4/mbm, No. 127.

Unit cell a=8.4591 b=8.4591 c=4.4062 alpha=90.00 beta=90.00 gamma=90.00
Element x y z (fractional)
As1 0.0000 0.0000 0.0000
As2 0.5000 0.5000 0.0000
Te1 0.1422 0.6422 0.5000
Te2 0.6422 0.8578 0.5000
Te3 0.8578 0.3578 0.5000
Te4 0.3578 0.1422 0.5000
La1 0.3334 0.8334 0.0000
La2 0.8334 0.6666 0.0000
La3 0.6666 0.1666 0.0000
La4 0.1666 0.3334 0.0000

# 9
BF: optimized geometry, PBE.

For the total magnetization, the calculation gives 0.0 μB per formula unit. The volume is 16.52 Å³/atom. The excess energy over the best structure of this formula in the dataset is 741.0 meV/atom. The calculation puts the formation energy without anion corrections at -0.58 eV/atom. The symmetry is P4_2/mnm, No. 136.

Unit cell a=7.4167 b=7.4167 c=2.4019 alpha=90.00 beta=90.00 gamma=90.00
Element x y z (fractional)
B1 0.4278 0.5722 0.0000
B2 0.9278 0.9278 0.5000
B3 0.0722 0.0722 0.5000
B4 0.5722 0.4278 0.0000
F1 0.1590 0.1590 0.0000
F2 0.6590 0.3410 0.5000
F3 0.3410 0.6590 0.5000
F4 0.8410 0.8410 0.0000

# 10
LiNb6Se8: optimized geometry, PBE.

For the total magnetization, the calculation gives 0.0 μB per formula unit. The volume is 22.52 Å³/atom. The calculation puts the formation energy without anion corrections at -0.79 eV/atom. The symmetry is R-3, No. 148.

Unit cell a=6.9649 b=6.9649 c=6.9649 alpha=90.92 beta=90.92 gamma=90.92
Element x y z (fractional)
Li1 0.0000 0.0000 0.0000
Nb1 0.5920 0.4570 0.7899
Nb2 0.4570 0.7899 0.5920
Nb3 0.7899 0.5920 0.4570
Nb4 0.4080 0.5430 0.2101
Nb5 0.5430 0.2101 0.4080
Nb6 0.2101 0.4080 0.5430
Se1 0.7837 0.7837 0.7837
Se2 0.2163 0.2163 0.2163
Se3 0.6064 0.8671 0.2563
Se4 0.8671 0.2563 0.6064
Se5 0.2563 0.6064 0.8671
Se6 0.3936 0.1329 0.7437
Se7 0.1329 0.7437 0.3936
Se8 0.7437 0.3936 0.1329

# 11
La2V2Au: optimized geometry, PBE.

For the total magnetization, the calculation gives 0.0 μB per formula unit. The volume is 23.69 Å³/atom. The excess energy over the best structure of this formula in the dataset is 0.0 meV/atom. The value obtained for the energy of formation is 0.12 eV/atom. The symmetry is I4/mmm, No. 139.

Unit cell a=3.5118 b=3.5118 c=9.9208 alpha=79.81 beta=79.81 gamma=90.00
Element x y z (fractional)
La1 0.3916 0.3916 0.2168
La2 0.6084 0.6084 0.7832
Au1 0.0000 0.0000 0.0000
V1 0.7500 0.2500 0.5000
V2 0.2500 0.7500 0.5000

# 12
CaZr2Tc: optimized geometry, PBE.

For the total magnetization, the calculation gives 0.0 μB per formula unit. The volume is 21.44 Å³/atom. The excess energy over the best structure of this formula in the dataset is 453.9 meV/atom. The value obtained for the energy of formation is 0.43 eV/atom. The symmetry is I-4m2, No. 119.

Unit cell a=5.7166 b=5.7166 c=5.7166 alpha=137.02 beta=137.02 gamma=62.40
Element x y z (fractional)
Ca1 0.5000 0.5000 0.0000
Tc1 0.7500 0.2500 0.5000
Zr1 0.0000 0.0000 0.0000
Zr2 0.2500 0.7500 0.5000